A plane-wave DFT calculation with PBE with a Hubbard U was carried out for a relaxed structure of Li4CoRh3O8.

Computed properties:
The calculation puts the uncorrected energy at -283.85 eV for the cell shown.

```
data_Li4CoRh3O8
_chemical_formula_sum 'Li12 Co3 Rh9 O24'
_space_group_name_H-M_alt 'R -3 m'
_space_group_IT_number 166
_space_group_name_Hall '-R 3 2"'
_cell_length_a 6.0665
_cell_length_b 6.0665
_cell_length_c 14.2227
_cell_angle_alpha 90.00
_cell_angle_beta 90.00
_cell_angle_gamma 120.00
loop_
_atom_site_label
_atom_site_type_symbol
_atom_site_fract_x
_atom_site_fract_y
_atom_site_fract_z
Li1 Li 0.0000 0.0000 0.0000
Li2 Li 0.0000 0.5000 0.0000
Co1 Co 0.0000 0.0000 0.5000
Rh1 Rh 0.0000 0.5000 0.5000
O1 O 0.0000 0.0000 0.2438
O2 O 0.0161 0.5081 0.2412
```

***

A plane-wave DFT calculation with PBE with a Hubbard U was carried out for a relaxed structure of La3Al2NiO9.

Computed properties:
The calculation puts the uncorrected energy at -112.61 eV for the cell shown.

```
data_La3Al2NiO9
_chemical_formula_sum 'La3 Al2 Ni1 O9'
_space_group_name_H-M_alt 'P -3 m 1'
_space_group_IT_number 164
_space_group_name_Hall '-P 3 2"'
_cell_length_a 5.4105
_cell_length_b 5.4105
_cell_length_c 6.6609
_cell_angle_alpha 90.00
_cell_angle_beta 90.00
_cell_angle_gamma 120.00
loop_
_atom_site_label
_atom_site_type_symbol
_atom_site_fract_x
_atom_site_fract_y
_atom_site_fract_z
La1 La 0.0000 0.0000 0.0000
La2 La 0.3333 0.6667 0.6580
Al1 Al 0.3333 0.6667 0.1577
Ni1 Ni 0.0000 0.0000 0.5000
O1 O 0.0000 0.5000 0.0000
O2 O 0.1707 0.3414 0.3299
```